1.
Computed, not measured: crystalline Zr2CoW at its relaxed geometry at the GGA-PBE level of DFT.

a = 5.1291 Å, b = 5.1291 Å, c = 5.1291 Å
α = 140.28°, β = 123.28°, γ = 71.46°
Positions (direct):
Zr 0.2267 0.2267 0.0000
Zr 0.7733 0.7733 0.0000
Co 0.0000 0.5000 0.5000
W 0.5000 0.0000 0.5000

Summary:
relative energy among the computed polymorphs	247	meV/atom
formation enthalpy at 0 K	18	kJ/mol of atoms



2.
Computed, not measured: crystalline ZrCo2W at its relaxed geometry at the GGA-PBE level of DFT.

a = 4.5634 Å, b = 4.5634 Å, c = 2.8385 Å
α = 90.00°, β = 90.00°, γ = 102.83°
Positions (direct):
Zr 0.0000 0.0000 0.0000
Co 0.0000 0.5000 0.5000
Co 0.5000 0.0000 0.5000
W 0.5000 0.5000 0.0000

Summary:
relative energy among the computed polymorphs	102	meV/atom
formation enthalpy at 0 K	4	kJ/mol of atoms



3.
Computed, not measured: crystalline Zr2CoW at its relaxed geometry at the GGA-PBE level of DFT.

a = 4.5873 Å, b = 4.5873 Å, c = 4.5873 Å
α = 60.00°, β = 60.00°, γ = 60.00°
Positions (direct):
Zr 0.0000 0.0000 0.0000
Zr 0.2500 0.2500 0.2500
Co 0.7500 0.7500 0.7500
W 0.5000 0.5000 0.5000

Summary:
relative energy among the computed polymorphs	275	meV/atom
formation enthalpy at 0 K	21	kJ/mol of atoms



4.
Computed, not measured: crystalline ZrCo4W at its relaxed geometry at the GGA-PBE level of DFT.

a = 4.7865 Å, b = 4.7865 Å, c = 4.7865 Å
α = 60.00°, β = 60.00°, γ = 60.00°
Positions (direct):
Zr 0.0000 0.0000 0.0000
Co 0.3753 0.3753 0.3753
Co 0.3753 0.3753 0.8742
Co 0.3753 0.8742 0.3753
Co 0.8742 0.3753 0.3753
W 0.7500 0.7500 0.7500

Summary:
formation enthalpy at 0 K	-7	kJ/mol of atoms



5.
Computed, not measured: crystalline Zr4CoW at its relaxed geometry at the GGA-PBE level of DFT.

a = 5.5707 Å, b = 5.5707 Å, c = 5.5707 Å
α = 60.00°, β = 60.00°, γ = 60.00°
Positions (direct):
Zr 0.3758 0.3758 0.3758
Zr 0.3758 0.3758 0.8726
Zr 0.3758 0.8726 0.3758
Zr 0.8726 0.3758 0.3758
Co 0.0000 0.0000 0.0000
W 0.7500 0.7500 0.7500

Summary:
formation enthalpy at 0 K	81	kJ/mol of atoms



6.
Computed, not measured: crystalline ZrCo2W at its relaxed geometry at the GGA-PBE level of DFT.

a = 5.5219 Å, b = 5.5219 Å, c = 5.5219 Å
α = 104.16°, β = 104.16°, γ = 120.71°
Positions (direct):
Zr 0.0000 0.0000 0.0000
Zr 0.7500 0.2500 0.5000
Co 0.1544 0.6250 0.0294
Co 0.3750 0.4044 0.5294
Co 0.5956 0.1250 0.9706
Co 0.8750 0.8456 0.4706
W 0.2500 0.7500 0.5000
W 0.5000 0.5000 0.0000

Summary:
relative energy among the computed polymorphs	451	meV/atom
formation enthalpy at 0 K	38	kJ/mol of atoms



7.
Computed, not measured: crystalline Zr2CoW at its relaxed geometry at the GGA-PBE level of DFT.

a = 5.8430 Å, b = 5.8430 Å, c = 5.8430 Å
α = 103.30°, β = 103.30°, γ = 122.69°
Positions (direct):
Zr 0.0931 0.6250 0.9681
Zr 0.3750 0.3431 0.4681
Zr 0.6569 0.1250 0.0319
Zr 0.8750 0.9069 0.5319
Co 0.0000 0.0000 0.0000
Co 0.7500 0.2500 0.5000
W 0.2500 0.7500 0.5000
W 0.5000 0.5000 0.0000

Summary:
relative energy among the computed polymorphs	536	meV/atom
formation enthalpy at 0 K	46	kJ/mol of atoms



8.
Computed, not measured: crystalline ZrCoW2 at its relaxed geometry at the GGA-PBE level of DFT.

a = 2.7599 Å, b = 2.7599 Å, c = 8.4224 Å
α = 90.00°, β = 90.00°, γ = 90.00°
Positions (direct):
Zr 0.0000 0.0000 0.0000
Co 0.0000 0.0000 0.5000
W 0.5000 0.5000 0.2896
W 0.5000 0.5000 0.7104

Summary:
relative energy among the computed polymorphs	139	meV/atom
formation enthalpy at 0 K	19	kJ/mol of atoms